Record 1
Material: AlHg2Se
Method: DFT, PBE
State: relaxed

Properties
Space group ... P4/mmm
Density of states at the Fermi level ... 1.12 states/eV/cell
Relative energy among the computed polymorphs ... 321 meV/atom

a b c (Å): 3.9962 3.9962 6.4723
angles (deg): 90.00 90.00 90.00
Fractional positions:
Al (0.0000, 0.0000, 0.0000)
Hg (0.0000, 0.5000, 0.5000)
Hg (0.5000, 0.0000, 0.5000)
Se (0.5000, 0.5000, 0.0000)


Record 2
Material: AlHg2Se
Method: DFT, PBE
State: relaxed

Properties
Space group ... Cmm2
Density of states at the Fermi level ... 0.90 states/eV/cell
Relative energy among the computed polymorphs ... 201 meV/atom

a b c (Å): 3.6928 3.6928 9.0302
angles (deg): 90.00 90.00 119.08
Fractional positions:
Al (0.0000, 0.0000, 0.0000)
Hg (0.0000, 0.0000, 0.4882)
Hg (0.5000, 0.5000, 0.7680)
Se (0.5000, 0.5000, 0.1645)


Record 3
Material: AlHgSe2
Method: DFT, PBE
State: relaxed

Properties
Space group ... R-3m
Density of states at the Fermi level ... 1.32 states/eV/cell
Relative energy among the computed polymorphs ... 602 meV/atom

a b c (Å): 12.2959 12.2959 12.2959
angles (deg): 13.72 13.72 13.72
Fractional positions:
Al (0.0000, 0.0000, 0.0000)
Hg (0.5000, 0.5000, 0.5000)
Se (0.0714, 0.0714, 0.0714)
Se (0.9286, 0.9286, 0.9286)


Record 4
Material: AlHg2Se
Method: DFT, PBE
State: relaxed

Properties
Space group ... C2/m
Density of states at the Fermi level ... 2.76 states/eV/cell
Relative energy among the computed polymorphs ... 318 meV/atom

a b c (Å): 4.0287 4.0287 7.1223
angles (deg): 106.35 106.35 60.19
Fractional positions:
Al (0.0000, 0.0000, 0.0000)
Hg (0.2530, 0.2530, 0.7583)
Hg (0.7470, 0.7470, 0.2417)
Se (0.5000, 0.5000, 0.5000)


Record 5
Material: AlHgSe2
Method: DFT, PBE
State: relaxed

Properties
Space group ... P4/mmm
Density of states at the Fermi level ... 1.36 states/eV/cell
Relative energy among the computed polymorphs ... 497 meV/atom

a b c (Å): 3.1985 3.1985 9.6659
angles (deg): 90.00 90.00 90.00
Fractional positions:
Al (0.0000, 0.0000, 0.0000)
Hg (0.0000, 0.0000, 0.5000)
Se (0.5000, 0.5000, 0.1629)
Se (0.5000, 0.5000, 0.8371)


Record 6
Material: AlHgSe2
Method: DFT, PBE
State: relaxed

Properties
Space group ... R-3m
Density of states at the Fermi level ... 2.03 states/eV/cell
Relative energy among the computed polymorphs ... 117 meV/atom

a b c (Å): 10.3835 10.3835 10.3835
angles (deg): 19.20 19.20 19.20
Fractional positions:
Al (0.0000, 0.0000, 0.0000)
Hg (0.5000, 0.5000, 0.5000)
Se (0.2817, 0.2817, 0.2817)
Se (0.7183, 0.7183, 0.7183)


Record 7
Material: AlHgSe2
Method: DFT, PBE
State: relaxed

Properties
Space group ... Immm
Density of states at the Fermi level ... 2.24 states/eV/cell
Relative energy among the computed polymorphs ... 341 meV/atom

a b c (Å): 6.7488 6.7488 6.7488
angles (deg): 149.64 135.74 54.61
Fractional positions:
Al (0.0000, 0.0000, 0.0000)
Hg (0.5000, 0.5000, 0.0000)
Se (0.1454, 0.6454, 0.5000)
Se (0.8546, 0.3546, 0.5000)


Record 8
Material: AlHg2Se
Method: DFT, PBE
State: relaxed

Properties
Space group ... Cmmm
Density of states at the Fermi level ... 1.47 states/eV/cell
Relative energy among the computed polymorphs ... 518 meV/atom

a b c (Å): 3.0202 3.0202 10.4415
angles (deg): 90.00 90.00 106.48
Fractional positions:
Al (0.0000, 0.0000, 0.0000)
Hg (0.5000, 0.5000, 0.2405)
Hg (0.5000, 0.5000, 0.7595)
Se (0.0000, 0.0000, 0.5000)


Record 9
Material: AlHg3Se
Method: DFT, PBE
State: relaxed

Properties
Space group ... Pm-3m
Density of states at the Fermi level ... 5.72 states/eV/cell
Relative energy among the computed polymorphs ... 0 meV/atom

a b c (Å): 5.2322 5.2322 5.2322
angles (deg): 90.00 90.00 90.00
Fractional positions:
Al (0.0000, 0.0000, 0.0000)
Hg (0.0000, 0.0000, 0.5000)
Hg (0.0000, 0.5000, 0.0000)
Hg (0.5000, 0.0000, 0.0000)
Se (0.5000, 0.5000, 0.5000)


Record 10
Material: AlHg2Se
Method: DFT, PBE
State: relaxed

Properties
Space group ... P2/m
Density of states at the Fermi level ... 0.93 states/eV/cell
Relative energy among the computed polymorphs ... 369 meV/atom

a b c (Å): 3.0079 3.9182 8.1806
angles (deg): 90.00 99.42 90.00
Fractional positions:
Al (0.0000, 0.0000, 0.0000)
Hg (0.0487, 0.5000, 0.7609)
Hg (0.9513, 0.5000, 0.2391)
Se (0.0000, 0.0000, 0.5000)


Record 11
Material: AlHgSe2
Method: DFT, PBE
State: relaxed

Properties
Space group ... Imm2
Density of states at the Fermi level ... 1.61 states/eV/cell
Relative energy among the computed polymorphs ... 354 meV/atom

a b c (Å): 7.3347 7.3347 7.3347
angles (deg): 152.04 150.37 41.19
Fractional positions:
Al (0.0000, 0.0000, 0.0000)
Hg (0.2518, 0.7518, 0.5000)
Se (0.5772, 0.5772, 0.0000)
Se (0.8667, 0.3667, 0.5000)


Record 12
Material: AlHgSe2
Method: DFT, PBE
State: relaxed

Properties
Space group ... I-42d
Density of states at the Fermi level ... 6.74 states/eV/cell
Relative energy among the computed polymorphs ... 109 meV/atom

a b c (Å): 6.9692 6.9692 6.9692
angles (deg): 122.93 122.93 84.99
Fractional positions:
Al (0.0000, 0.0000, 0.0000)
Al (0.7500, 0.2500, 0.5000)
Hg (0.2500, 0.7500, 0.5000)
Hg (0.5000, 0.5000, 0.0000)
Se (0.0584, 0.6250, 0.9334)
Se (0.3750, 0.3084, 0.4334)
Se (0.6916, 0.1250, 0.0666)
Se (0.8750, 0.9416, 0.5666)


Record 13
Material: AlHg2Se
Method: DFT, PBE
State: relaxed

Properties
Space group ... Immm
Density of states at the Fermi level ... 0.98 states/eV/cell
Relative energy among the computed polymorphs ... 198 meV/atom

a b c (Å): 9.0160 9.0160 9.0160
angles (deg): 157.20 156.21 33.18
Fractional positions:
Al (0.0000, 0.0000, 0.0000)
Hg (0.1823, 0.6823, 0.5000)
Hg (0.8177, 0.3177, 0.5000)
Se (0.5000, 0.5000, 0.0000)


Record 14
Material: AlHg4Se
Method: DFT, PBE
State: relaxed

Properties
Space group ... F-43m
Density of states at the Fermi level ... 5.80 states/eV/cell
Final energy ... -6.4 eV per cell

a b c (Å): 6.0779 6.0779 6.0779
angles (deg): 60.00 60.00 60.00
Fractional positions:
Al (0.0000, 0.0000, 0.0000)
Hg (0.1254, 0.6249, 0.6249)
Hg (0.6249, 0.1254, 0.6249)
Hg (0.6249, 0.6249, 0.1254)
Hg (0.6249, 0.6249, 0.6249)
Se (0.2500, 0.2500, 0.2500)


Record 15
Material: AlHgSe2
Method: DFT, PBE
State: relaxed

Properties
Space group ... C2/m
Density of states at the Fermi level ... 1.46 states/eV/cell
Relative energy among the computed polymorphs ... 746 meV/atom

a b c (Å): 6.4414 6.4414 2.8399
angles (deg): 90.04 90.04 128.11
Fractional positions:
Al (0.0000, 0.0000, 0.0000)
Hg (0.5000, 0.5000, 0.0000)
Se (0.0000, 0.5000, 0.5000)
Se (0.5000, 0.0000, 0.5000)


Record 16
Material: AlHg2Se
Method: DFT, PBE
State: relaxed

Properties
Space group ... Pm
Density of states at the Fermi level ... 0.46 states/eV/cell
Relative energy among the computed polymorphs ... 105 meV/atom

a b c (Å): 3.4926 3.4821 8.4359
angles (deg): 90.00 101.04 90.00
Fractional positions:
Al (0.0000, 0.0000, 0.0000)
Hg (0.2294, 0.0000, 0.4499)
Hg (0.8636, 0.5000, 0.7199)
Se (0.5484, 0.5000, 0.1065)


Record 17
Material: AlHgSe2
Method: DFT, PBE
State: relaxed

Properties
Space group ... Fm-3m
Density of states at the Fermi level ... 1.89 states/eV/cell
Relative energy among the computed polymorphs ... 672 meV/atom

a b c (Å): 4.9311 4.9311 4.9311
angles (deg): 60.00 60.00 60.00
Fractional positions:
Al (0.0000, 0.0000, 0.0000)
Hg (0.5000, 0.5000, 0.5000)
Se (0.2500, 0.2500, 0.2500)
Se (0.7500, 0.7500, 0.7500)


Record 18
Material: AlHg2Se
Method: DFT, PBE
State: relaxed

Properties
Space group ... I-42d
Density of states at the Fermi level ... 1.91 states/eV/cell
Relative energy among the computed polymorphs ... 381 meV/atom

a b c (Å): 6.9602 6.9602 6.9602
angles (deg): 121.58 121.58 87.29
Fractional positions:
Al (0.0000, 0.0000, 0.0000)
Al (0.7500, 0.2500, 0.5000)
Hg (0.1133, 0.6250, 0.9883)
Hg (0.3750, 0.3633, 0.4883)
Hg (0.6367, 0.1250, 0.0117)
Hg (0.8750, 0.8867, 0.5117)
Se (0.2500, 0.7500, 0.5000)
Se (0.5000, 0.5000, 0.0000)


Record 19
Material: AlHg3Se4
Method: DFT, PBE
State: relaxed

Properties
Space group ... Pmn2_1
Density of states at the Fermi level ... 6.32 states/eV/cell
Relative energy among the computed polymorphs ... 0 meV/atom

a b c (Å): 8.8046 7.5901 7.1500
angles (deg): 90.00 90.00 90.00
Fractional positions:
Al (0.0000, 0.1812, 0.0000)
Al (0.5000, 0.8188, 0.5000)
Hg (0.0000, 0.8455, 0.5114)
Hg (0.2421, 0.6782, 0.9950)
Hg (0.2579, 0.3218, 0.4950)
Hg (0.5000, 0.1545, 0.0114)
Hg (0.7421, 0.3218, 0.4950)
Hg (0.7579, 0.6782, 0.9950)
Se (0.0000, 0.1871, 0.6585)
Se (0.0000, 0.8785, 0.1135)
Se (0.2287, 0.3296, 0.1097)
Se (0.2713, 0.6704, 0.6097)
Se (0.5000, 0.1215, 0.6135)
Se (0.5000, 0.8129, 0.1585)
Se (0.7287, 0.6704, 0.6097)
Se (0.7713, 0.3296, 0.1097)


Record 20
Material: AlHg2Se
Method: DFT, PBE
State: relaxed

Properties
Space group ... R-3m
Density of states at the Fermi level ... 1.99 states/eV/cell
Relative energy among the computed polymorphs ... 546 meV/atom

a b c (Å): 11.1479 11.1479 11.1479
angles (deg): 15.83 15.83 15.83
Fractional positions:
Al (0.0000, 0.0000, 0.0000)
Hg (0.2579, 0.2579, 0.2579)
Hg (0.7421, 0.7421, 0.7421)
Se (0.5000, 0.5000, 0.5000)